No. 1
Material: ZrPbBr2
Method: DFT, PBE
State: relaxed

```
ZrPbBr2
1.0
1.691 -3.154 0.000
1.691 3.154 0.000
0.000 0.000 11.241
Zr Pb Br
1 1 2
Cartesian
0.000 0.000 0.000
0.000 0.000 5.620
1.691 0.000 2.140
1.691 0.000 9.101
```

Output
excess energy over the best structure of this formula in the dataset: 246 meV per atom
formation energy (no corrections): -0.527 eV/atom
size of the total moment: 0.00 μB/cell
space-group type: Cmmm

No. 2
Material: CsLiRh2
Method: DFT, PBE
State: relaxed

```
CsLiRh2
1.0
-2.268 2.268 9.594
2.268 -2.268 9.594
2.268 2.268 -9.594
Cs Li Rh
2 2 4
Cartesian
0.000 0.000 0.000
0.000 2.268 4.797
2.268 0.000 4.797
0.000 0.000 9.594
1.134 -0.501 7.195
1.767 1.134 2.398
1.134 2.769 -2.398
0.501 1.134 11.992
```

Output
size of the total moment: 2.55 μB/cell
formation energy: 0.686 eV/atom
space-group type: I-42d

No. 3
Material: SmSc2Pa
Method: DFT, PBE
State: relaxed

```
SmSc2Pa
1.0
3.331 0.000 0.000
0.000 3.331 0.000
0.000 0.000 9.580
Sm Sc Pa
1 2 1
Cartesian
0.000 0.000 0.000
1.665 1.665 2.569
1.665 1.665 7.012
0.000 0.000 4.790
```

Output
excess energy over the best structure of this formula in the dataset: 25 meV per atom
size of the total moment: 0.37 μB/cell
formation energy: 0.110 eV/atom
space-group type: P4/mmm

No. 4
Material: Ac5Sn3
Method: DFT, PBE
State: relaxed

```
Ac5Sn3
1.0
-4.433 4.433 7.638
4.433 -4.433 7.638
4.433 4.433 -7.638
Ac Sn
10 6
Cartesian
0.000 0.000 0.000
5.906 1.474 -2.263
1.474 2.959 -2.263
5.906 1.474 2.263
1.474 2.959 2.263
0.000 0.000 7.638
2.959 1.474 5.374
-1.474 2.959 5.374
2.959 1.474 9.901
-1.474 2.959 9.901
3.268 1.164 0.000
0.000 0.000 3.819
3.268 -1.164 7.638
1.164 5.597 0.000
0.000 0.000 11.457
1.164 3.268 7.638
```

Output
excess energy over the best structure of this formula in the dataset: 18 meV per atom
size of the total moment: 0.56 μB/cell
formation energy: -0.595 eV/atom
space-group type: I4/mcm

No. 5
Material: HgGe2Bi2
Method: DFT, PBE
State: relaxed

```
HgGe2Bi2
1.0
-2.714 2.714 4.858
2.714 -2.714 4.858
2.714 2.714 -4.858
Hg Ge Bi
1 2 2
Cartesian
0.000 0.000 0.000
0.000 0.000 3.588
0.000 0.000 6.128
2.714 0.000 2.429
0.000 2.714 2.429
```

Output
excess energy over the best structure of this formula in the dataset: 14 meV per atom
size of the total moment: 0.00 μB/cell
formation energy: 0.192 eV/atom
space-group type: I4/mmm

No. 6
Material: ScMnAg3
Method: DFT, PBE
State: relaxed

```
ScMnAg3
1.0
4.874 0.000 0.000
0.000 4.874 0.000
0.000 0.000 4.874
Sc Mn Ag
1 1 3
Cartesian
0.000 0.000 0.000
2.437 2.437 2.437
0.000 2.437 2.437
2.437 0.000 2.437
2.437 2.437 0.000
```

Output
excess energy over the best structure of this formula in the dataset: 0 meV per atom
size of the total moment: 3.79 μB/cell
formation energy: 0.665 eV/atom
space-group type: Pm-3m

No. 7
Material: Li2PRh
Method: DFT, PBE
State: relaxed

```
Li2PRh
1.0
4.114 -1.528 0.000
4.114 1.528 0.000
-1.560 0.000 4.214
Li P Rh
2 1 1
Cartesian
0.000 0.000 0.000
0.650 0.000 3.440
5.471 0.000 1.552
3.052 0.000 1.888
```

Output
size of the total moment: 0.00 μB/cell
formation energy: -0.586 eV/atom
space-group type: Cm

No. 8
Material: LiPr2Sn4Au3
Method: DFT, PBE
State: relaxed

```
LiPr2Sn4Au3
1.0
4.496 0.000 0.000
0.000 4.496 0.000
0.000 0.000 11.962
Li Pr Sn Au
1 2 4 3
Cartesian
0.000 0.000 0.000
0.000 2.248 9.077
2.248 0.000 2.885
0.000 0.000 5.981
0.000 2.248 1.565
2.248 0.000 10.397
2.248 2.248 5.981
0.000 2.248 4.222
2.248 0.000 7.740
2.248 2.248 0.000
```

Output
size of the total moment: 0.00 μB/cell
formation energy: -0.581 eV/atom
space-group type: P-4m2

Quick rundown of calculated total energy, same order as above: -4.43, -3.68, -6.61, -4.66, -3.27, -4.15, -4.73, -4.31 eV/atom